## ZnAgIr4 (PBE-GGA)

Data for a relaxed structure of ZnAgIr4.

Lattice parameters (Å, degrees): 5.200 5.200 5.200 60.00 60.00 60.00
Positions (direct):
Zn: 0.000 0.000 0.000
Ag: 0.750 0.750 0.750
Ir: 0.375 0.375 0.375
Ir: 0.375 0.375 0.876
Ir: 0.375 0.876 0.375
Ir: 0.876 0.375 0.375

Results
Total moment (μB per atom): 0.001
DFT formation energy (eV per atom): 0.449
Crystal system: cubic